# HoTl2Zn PBE relaxed
# E, Ry/atom: -0.18081
# Formation energy from the elements, eV/atom: 0.1860
data_HoTl2Zn
_cell_length_a 3.4607
_cell_length_b 3.4607
_cell_length_c 32.5207
_cell_angle_alpha 90.00
_cell_angle_beta 90.00
_cell_angle_gamma 120.00
_symmetry_space_group_name_H-M 'R -3 m'
_symmetry_Int_Tables_number 166
_symmetry_space_group_name_Hall '-R 3 2"'
loop_
_atom_site_label
_atom_site_fract_x
_atom_site_fract_y
_atom_site_fract_z
_atom_site_occupancy
Ho1 0.0000 0.0000 0.0000 1
Tl1 0.0000 0.0000 0.0963 1
Zn1 0.0000 0.0000 0.5000 1